Record 1
A plane-wave DFT calculation with GGA-PBE was carried out for a relaxed structure of Mn2AlSe4.

The structure in CIF format:
```
data_Mn2AlSe4
_symmetry_space_group_name_H-M 'I 41/a'
_symmetry_Int_Tables_number 88
_cell_length_a 6.700
_cell_length_b 6.700
_cell_length_c 12.908
_cell_angle_alpha 90.00
_cell_angle_beta 90.00
_cell_angle_gamma 90.00
loop_
_symmetry_equiv_pos_as_xyz
'x,y,z'
'-x,-y,-z'
'-y+3/4,x+1/4,z+1/4'
'y+3/4,-x+1/4,-z+1/4'
'-x+1/2,-y,z+1/2'
'x+1/2,y,-z+1/2'
'y+3/4,-x+3/4,z+3/4'
'-y+3/4,x+3/4,-z+3/4'
'x+1/2,y+1/2,z+1/2'
'-x+1/2,-y+1/2,-z+1/2'
'-y+1/4,x+3/4,z+3/4'
'y+1/4,-x+3/4,-z+3/4'
'-x,-y+1/2,z'
'x,y+1/2,-z'
'y+1/4,-x+1/4,z+1/4'
'-y+1/4,x+1/4,-z+1/4'
loop_
_atom_site_label
_atom_site_fract_x
_atom_site_fract_y
_atom_site_fract_z
Mn1 0.000 0.000 0.000
Al1 0.000 0.250 0.625
Se1 0.173 0.066 0.832
```

=====

Record 2
# Tb8ErIn6 | Alexandria | GGA-PBE | optimized geometry
data_Tb8ErIn6
_symmetry_space_group_name_H-M 'R -3'
_symmetry_Int_Tables_number 148
_symmetry_space_group_name_Hall '-R 3'
_cell_length_a 9.0466
_cell_length_b 9.0466
_cell_length_c 19.5006
_cell_angle_alpha 90.00
_cell_angle_beta 90.00
_cell_angle_gamma 120.00
loop_
_atom_site_label
_atom_site_fract_x
_atom_site_fract_y
_atom_site_fract_z
Tb1 0.0000 0.0000 0.1664
Tb2 0.0001 0.3333 0.2798
Er1 0.0000 0.0000 0.5000
In1 0.0001 0.3316 0.4418
# DFT formation energy = -3.3 eV/f.u.

=====

Record 3
# Sm2Er8Tm3 | Alexandria | GGA-PBE | optimized geometry
data_Sm2Er8Tm3
_symmetry_space_group_name_H-M 'P 1 2/m 1'
_symmetry_Int_Tables_number 10
_symmetry_space_group_name_Hall '-P 2y'
_cell_length_a 7.515
_cell_length_b 5.491
_cell_length_c 10.927
_cell_angle_alpha 90.00
_cell_angle_beta 110.09
_cell_angle_gamma 90.00
loop_
_atom_site_label
_atom_site_fract_x
_atom_site_fract_y
_atom_site_fract_z
Sm1 0.241 0.000 0.482
Er1 0.129 0.500 0.259
Er2 0.179 0.000 0.786
Er3 0.338 0.500 0.677
Er4 0.393 0.000 0.214
Tm1 0.000 0.000 0.000
Tm2 0.284 0.500 0.000
# DFT formation energy = 3.2 eV/f.u.

=====

Record 4
# Er5In4Pt | Alexandria | GGA-PBE | optimized geometry
data_Er5In4Pt
_symmetry_space_group_name_H-M 'P 4/m m m'
_symmetry_Int_Tables_number 123
_symmetry_space_group_name_Hall '-P 4 2'
_cell_length_a 3.508
_cell_length_b 3.508
_cell_length_c 20.305
_cell_angle_alpha 90.00
_cell_angle_beta 90.00
_cell_angle_gamma 90.00
loop_
_atom_site_label
_atom_site_fract_x
_atom_site_fract_y
_atom_site_fract_z
Er1 0.000 0.000 0.000
Er2 0.000 0.000 0.208
Er3 0.000 0.000 0.418
In1 0.500 0.500 0.104
In2 0.500 0.500 0.311
Pt1 0.500 0.500 0.500
# DFT formation energy = -6.3 eV/f.u.

=====

Record 5
A plane-wave DFT calculation with GGA-PBE was carried out for a relaxed structure of Li2DyThSe4.

The structure in CIF format:
```
data_Li2DyThSe4
_symmetry_space_group_name_H-M 'P 1 2/m 1'
_symmetry_Int_Tables_number 10
_symmetry_space_group_name_Hall '-P 2y'
_cell_length_a 6.986
_cell_length_b 4.067
_cell_length_c 7.080
_cell_angle_alpha 90.00
_cell_angle_beta 109.54
_cell_angle_gamma 90.00
loop_
_atom_site_label
_atom_site_fract_x
_atom_site_fract_y
_atom_site_fract_z
Li1 0.000 0.000 0.000
Li2 0.000 0.500 0.500
Dy1 0.500 0.000 0.500
Th1 0.500 0.500 0.000
Se1 0.234 0.000 0.738
Se2 0.241 0.500 0.252
```

=====

Record 6
A plane-wave DFT calculation with GGA-PBE was carried out for a relaxed structure of Nb2GaAsCl.

The structure in CIF format:
```
data_Nb2GaAsCl
_symmetry_space_group_name_H-M 'P 4/m m m'
_symmetry_Int_Tables_number 123
_symmetry_space_group_name_Hall '-P 4 2'
_cell_length_a 4.578
_cell_length_b 4.578
_cell_length_c 4.921
_cell_angle_alpha 90.00
_cell_angle_beta 90.00
_cell_angle_gamma 90.00
loop_
_atom_site_label
_atom_site_fract_x
_atom_site_fract_y
_atom_site_fract_z
Nb1 0.000 0.500 0.000
Ga1 0.000 0.000 0.500
As1 0.500 0.500 0.500
Cl1 0.500 0.500 0.000
```

=====

Record 7
A plane-wave DFT calculation with GGA-PBE was carried out for a relaxed structure of CuPdBr6.

The structure in CIF format:
```
data_CuPdBr6
_symmetry_space_group_name_H-M 'C 1 2/m 1'
_symmetry_Int_Tables_number 12
_symmetry_space_group_name_Hall '-C 2y'
_cell_length_a 8.645
_cell_length_b 10.146
_cell_length_c 7.114
_cell_angle_alpha 90.00
_cell_angle_beta 120.19
_cell_angle_gamma 90.00
loop_
_atom_site_label
_atom_site_fract_x
_atom_site_fract_y
_atom_site_fract_z
Cu1 0.000 0.000 0.000
Pd1 0.000 0.000 0.500
Br1 0.043 0.166 0.268
Br2 0.164 0.500 0.233
```

=====

Record 8
# HfGa2Rh2 | Alexandria | GGA-PBE | optimized geometry
data_HfGa2Rh2
_symmetry_space_group_name_H-M 'P 4/m b m'
_symmetry_Int_Tables_number 127
_symmetry_space_group_name_Hall '-P 4 2ab'
_cell_length_a 7.322
_cell_length_b 7.322
_cell_length_c 2.961
_cell_angle_alpha 90.00
_cell_angle_beta 90.00
_cell_angle_gamma 90.00
loop_
_atom_site_label
_atom_site_fract_x
_atom_site_fract_y
_atom_site_fract_z
Hf1 0.000 0.000 0.000
Ga1 0.153 0.347 0.500
Rh1 0.144 0.644 0.000
# DFT formation energy = -3.1 eV/f.u.

=====

Record 9
# Ti6CoSn | Alexandria | GGA-PBE | optimized geometry
data_Ti6CoSn
_symmetry_space_group_name_H-M 'R -3 m'
_symmetry_Int_Tables_number 166
_symmetry_space_group_name_Hall '-R 3 2"'
_cell_length_a 8.8716
_cell_length_b 8.8716
_cell_length_c 6.2282
_cell_angle_alpha 90.00
_cell_angle_beta 90.00
_cell_angle_gamma 120.00
loop_
_atom_site_label
_atom_site_fract_x
_atom_site_fract_y
_atom_site_fract_z
Ti1 0.0450 0.5225 0.2970
Co1 0.0000 0.0000 0.5000
Sn1 0.0000 0.0000 0.0000
# DFT formation energy = 0.3 eV/f.u.

=====

no.,calculated total energy (eV per atom)
1,-5.480
2,-4.088
3,-4.323
4,-4.607
5,-5.300
6,-5.011
7,-2.617
8,-6.753
9,-7.269